--- one ---
{"formula": "Pr2IrCl", "functional": "PBE", "state": "optimized geometry", "m_tot_mub_per_cell": 0.00, "dos_ef_per_ev_atom": 0.346, "space_group": "R-3m, No. 166", "lattice": [[4.1686, 0.0000, 0.0000], [2.0843, 3.6101, 0.0000], [2.0843, 1.2034, 7.5844]], "species": ["Pr", "Pr", "Ir", "Cl"], "frac_coords": [[0.2655, 0.2655, 0.2035], [0.7345, 0.7345, 0.7965], [0.0000, 0.0000, 0.0000], [0.5000, 0.5000, 0.5000]]}

***

--- two ---
{"formula": "Pr2IrCl", "functional": "PBE", "state": "optimized geometry", "m_tot_mub_per_cell": 0.00, "dos_ef_per_ev_atom": 0.352, "space_group": "R3m, No. 160", "lattice": [[4.1552, 0.0000, 0.0000], [2.0776, 3.5985, 0.0000], [2.0776, 1.1995, 7.7483]], "species": ["Cl", "Pr", "Pr", "Ir"], "frac_coords": [[0.4969, 0.4969, 0.5094], [0.0677, 0.0677, 0.7969], [0.2679, 0.2679, 0.1964], [0.6676, 0.6676, 0.9973]]}

***

Stability check: which of them is least stable? two.

***

--- one ---
{"formula": "IrPtCl", "functional": "PBE", "state": "optimized geometry", "m_tot_mub_per_cell": 0.09, "dos_ef_per_ev_atom": 1.854, "space_group": "P3m1, No. 156", "lattice": [[-2.6246, 0.2679, 1.4163], [0.8761, -2.6689, -1.0371], [2.8404, -1.2014, 5.4911]], "species": ["Ir", "Pt", "Cl"], "frac_coords": [[0.3333, 0.6667, 0.3316], [0.6667, 0.3333, 0.6506], [0.0000, 0.0000, 0.0178]]}

***

--- two ---
{"formula": "IrPtCl", "functional": "PBE", "state": "optimized geometry", "m_tot_mub_per_cell": 1.18, "dos_ef_per_ev_atom": 1.682, "space_group": "I4mm, No. 107", "lattice": [[-2.9704, -5.8527, -0.5250], [1.0293, -6.4929, 0.3692], [0.5249, 6.2173, 2.1031]], "species": ["Ir", "Cl", "Pt"], "frac_coords": [[0.3303, 0.3303, 0.0000], [0.9732, 0.9732, 0.0000], [0.6965, 0.6965, 0.0000]]}

***

Stability check: which of them is least stable? two.

***

--- one ---
{"formula": "IrPtCl", "functional": "PBE", "state": "optimized geometry", "m_tot_mub_per_cell": 0.00, "dos_ef_per_ev_atom": 0.777, "space_group": "Fmm2, No. 42", "lattice": [[7.1574, -0.0225, 0.0131], [6.2323, 2.7699, 0.0131], [0.9251, -1.3820, 2.4265]], "species": ["Cl", "Pt", "Ir"], "frac_coords": [[0.0097, 0.0097, 0.9903], [0.3288, 0.3288, 0.6712], [0.6614, 0.6614, 0.3386]]}

***

--- two ---
{"formula": "IrPtCl", "functional": "PBE", "state": "optimized geometry", "m_tot_mub_per_cell": 0.00, "space_group": "P3m1, No. 156", "lattice": [[-2.3411, 0.5440, -2.6990], [-0.7759, -2.3712, 2.6147], [-2.4099, 3.9778, 2.8922]], "species": ["Ir", "Pt", "Cl"], "frac_coords": [[0.6667, 0.3333, 0.3229], [0.3333, 0.6667, 0.5810], [0.0000, 0.0000, 0.0961]]}

***

--- three ---
{"formula": "IrPtCl", "functional": "PBE", "state": "optimized geometry", "m_tot_mub_per_cell": 1.93, "dos_ef_per_ev_atom": 1.477, "space_group": "F-43m, No. 216", "lattice": [[4.3393, 0.0000, 0.0000], [2.1696, 3.7579, 0.0000], [2.1696, 1.2526, 3.5430]], "species": ["Ir", "Cl", "Pt"], "frac_coords": [[0.7500, 0.7500, 0.7500], [0.5000, 0.5000, 0.5000], [0.0000, 0.0000, 0.0000]]}

***

Stability check: which of them is least stable? three.

***

--- one ---
{"formula": "IrPt3Cl", "functional": "PBE", "state": "optimized geometry", "m_tot_mub_per_cell": 0.00, "dos_ef_per_ev_atom": 1.794, "space_group": "Pm-3m, No. 221", "lattice": [[-0.6421, -1.4196, 4.6151], [4.2186, -2.4300, -0.1605], [2.3491, 3.9758, 1.5497]], "species": ["Ir", "Pt", "Pt", "Pt", "Cl"], "frac_coords": [[0.0000, 0.0000, 0.0000], [0.0000, 0.5000, 0.0000], [0.5000, 0.0000, 0.0000], [0.0000, 0.0000, 0.5000], [0.5000, 0.5000, 0.5000]]}

***

--- two ---
{"formula": "IrPt3Cl", "functional": "PBE", "state": "optimized geometry", "m_tot_mub_per_cell": 0.00, "dos_ef_per_ev_atom": 0.943, "space_group": "Pm-3m, No. 221", "lattice": [[4.4583, 0.0000, 0.0000], [0.0000, 4.4583, 0.0000], [0.0000, 0.0000, 4.4583]], "species": ["Pt", "Pt", "Pt", "Cl", "Ir"], "frac_coords": [[0.0000, 0.5000, 0.0000], [0.0000, 0.0000, 0.5000], [0.5000, 0.0000, 0.0000], [0.0000, 0.0000, 0.0000], [0.5000, 0.5000, 0.5000]]}

***

Stability check: which of them is least stable? two.

***

--- one ---
{"formula": "Rb2IrCl", "functional": "PBE", "state": "optimized geometry", "m_tot_mub_per_cell": 4.00, "dos_ef_per_ev_atom": 0.000, "space_group": "I-42d, No. 122", "lattice": [[8.9266, 0.0000, 0.0000], [0.0000, 8.9266, 0.0000], [4.4633, 4.4633, 4.7767]], "species": ["Rb", "Rb", "Rb", "Rb", "Cl", "Cl", "Ir", "Ir"], "frac_coords": [[0.3750, 0.4093, 0.7500], [0.8750, 0.8407, 0.7500], [0.5907, 0.1250, 0.2500], [0.1593, 0.6250, 0.2500], [0.2500, 0.7500, 0.5000], [0.5000, 0.5000, 0.0000], [0.7500, 0.2500, 0.5000], [0.0000, 0.0000, 0.0000]]}

***

--- two ---
{"formula": "Rb2IrCl", "functional": "PBE", "state": "optimized geometry", "m_tot_mub_per_cell": 2.00, "dos_ef_per_ev_atom": 0.000, "space_group": "Fm-3m, No. 225", "lattice": [[2.3207, -4.3466, 3.2837], [-3.4679, -3.1475, 3.6233], [-1.2443, -5.6501, -1.2608]], "species": ["Cl", "Ir", "Rb", "Rb"], "frac_coords": [[0.0000, 0.0000, 0.0000], [0.5000, 0.5000, 0.5000], [0.7500, 0.7500, 0.7500], [0.2500, 0.2500, 0.2500]]}

***

Stability check: which of them is least stable? one.

***

--- one ---
{"formula": "Re2IrCl", "functional": "PBE", "state": "optimized geometry", "m_tot_mub_per_cell": 0.00, "dos_ef_per_ev_atom": 0.867, "space_group": "Pmmm, No. 47", "lattice": [[-3.2901, -0.4500, 1.7724], [-0.9869, -1.4297, -2.1950], [2.1271, -5.4177, 2.5729]], "species": ["Cl", "Re", "Re", "Ir"], "frac_coords": [[0.5000, 0.2500, 0.2500], [0.0000, 0.2500, 0.9490], [0.0000, 0.2500, 0.5510], [0.5000, 0.7500, 0.7500]]}

***

--- two ---
{"formula": "Re2IrCl", "functional": "PBE", "state": "optimized geometry", "m_tot_mub_per_cell": 0.00, "dos_ef_per_ev_atom": 1.061, "space_group": "Immm, No. 71", "lattice": [[5.2885, -0.0084, 0.0052], [2.4202, 4.7022, -0.0052], [-3.1644, -3.4801, 2.4174]], "species": ["Ir", "Cl", "Re", "Re"], "frac_coords": [[0.2500, 0.7500, 0.5000], [0.7500, 0.2500, 0.5000], [0.5136, 0.5136, 0.0000], [0.9864, 0.9864, 0.0000]]}

***

Stability check: which of them is least stable? two.

***

--- one ---
{"formula": "Re2IrCl", "functional": "PBE", "state": "optimized geometry", "m_tot_mub_per_cell": 0.00, "dos_ef_per_ev_atom": 0.882, "space_group": "R-3m, No. 166", "lattice": [[8.7617, -0.0041, -0.0024], [8.3080, 2.7832, -0.0024], [8.3080, 1.3526, 2.4324]], "species": ["Re", "Re", "Cl", "Ir"], "frac_coords": [[0.9992, 0.9992, 0.9992], [0.5008, 0.5008, 0.5008], [0.2500, 0.2500, 0.2500], [0.7500, 0.7500, 0.7500]]}

***

--- two ---
{"formula": "Re2IrCl", "functional": "PBE", "state": "optimized geometry", "m_tot_mub_per_cell": 0.00, "dos_ef_per_ev_atom": 0.861, "space_group": "I-42d, No. 122", "lattice": [[-3.8892, -0.2492, 3.9627], [-0.7443, -5.4029, -1.0702], [1.3683, -4.0351, 4.9869]], "species": ["Ir", "Ir", "Re", "Re", "Re", "Re", "Cl", "Cl"], "frac_coords": [[0.7500, 0.2500, 0.5000], [0.0000, 0.0000, 0.0000], [0.8750, 0.8608, 0.7500], [0.6108, 0.1250, 0.2500], [0.3750, 0.3892, 0.7500], [0.1392, 0.6250, 0.2500], [0.5000, 0.5000, 0.0000], [0.2500, 0.7500, 0.5000]]}

***

--- three ---
{"formula": "Re2IrCl", "functional": "PBE", "state": "optimized geometry", "m_tot_mub_per_cell": 0.00, "dos_ef_per_ev_atom": 0.946, "space_group": "P4/mmm, No. 123", "lattice": [[-1.9914, -2.9832, 2.9548], [3.6808, 0.3363, 2.8167], [-1.2105, 2.1237, 1.3283]], "species": ["Re", "Re", "Ir", "Cl"], "frac_coords": [[0.0000, 0.0000, 0.0000], [0.5000, 0.5000, 0.0000], [0.0000, 0.5000, 0.5000], [0.5000, 0.0000, 0.5000]]}

***

--- four ---
{"formula": "Re2IrCl", "functional": "PBE", "state": "optimized geometry", "m_tot_mub_per_cell": 0.00, "dos_ef_per_ev_atom": 1.108, "space_group": "P4/mmm, No. 123", "lattice": [[-0.7585, 0.9071, -2.5066], [1.5487, -1.9713, -1.1820], [-6.1257, -4.8676, 0.0921]], "species": ["Re", "Re", "Cl", "Ir"], "frac_coords": [[0.0000, 0.0000, 0.9957], [0.0000, 0.0000, 0.5043], [0.5000, 0.5000, 0.2500], [0.5000, 0.5000, 0.7500]]}

***

Stability check: which of them is least stable? two.

***

--- one ---
{"formula": "Re3IrCl", "functional": "PBE", "state": "optimized geometry", "m_tot_mub_per_cell": 4.18, "dos_ef_per_ev_atom": 0.916, "space_group": "Pm-3m, No. 221", "lattice": [[4.8121, 0.0000, 0.0000], [0.0000, 4.8121, 0.0000], [0.0000, 0.0000, 4.8121]], "species": ["Re", "Re", "Re", "Ir", "Cl"], "frac_coords": [[0.0000, 0.0000, 0.5000], [0.0000, 0.5000, 0.0000], [0.5000, 0.0000, 0.0000], [0.0000, 0.0000, 0.0000], [0.5000, 0.5000, 0.5000]]}

***

--- two ---
{"formula": "Re3IrCl", "functional": "PBE", "state": "optimized geometry", "m_tot_mub_per_cell": 0.00, "dos_ef_per_ev_atom": 0.697, "space_group": "Pm-3m, No. 221", "lattice": [[-1.0746, 1.9291, -3.6900], [2.8379, -2.4494, -2.1069], [-3.0470, -2.9616, -0.6610]], "species": ["Re", "Re", "Re", "Cl", "Ir"], "frac_coords": [[0.5000, 0.0000, 0.0000], [0.0000, 0.5000, 0.0000], [0.0000, 0.0000, 0.5000], [0.0000, 0.0000, 0.0000], [0.5000, 0.5000, 0.5000]]}

***

Stability check: which of them is least stable? one.